# PmZn4Au6

PmZn4Au6 after structural relaxation (GGA-PBE, Alexandria via LeMat-Bulk).

Cell and atoms, written as extended XYZ:
```
11
Lattice="-1.469 5.132 4.244 -2.444 -6.272 1.096 6.260 -2.697 -0.214" Properties=species:S:1:pos:R:3 pbc="T T T"
Au 1.425 -2.620 2.317
Au -1.956 -0.570 2.670
Zn 2.417 -5.152 2.001
Au -0.425 1.951 2.497
Au 4.470 -5.293 0.313
Zn 0.168 -4.175 0.561
Zn 0.672 -0.428 3.297
Au 0.695 -6.844 0.881
Zn 2.907 -3.051 0.149
Pm 0.000 0.000 0.000
Au 2.396 1.218 2.015
```

- Space-group type: No. 121



# La4DyPa3N8

La4DyPa3N8 after structural relaxation (GGA-PBE, Alexandria via LeMat-Bulk).

Cell and atoms, written as extended XYZ:
```
16
Lattice="7.160 0.000 0.000 0.000 7.281 0.082 -3.580 -3.574 5.064" Properties=species:S:1:pos:R:3 pbc="T T T"
Pa 1.790 1.853 2.573
N 1.723 1.689 4.939
N -1.723 1.689 4.939
N 5.303 2.017 0.207
La 3.580 0.000 0.000
Dy 0.000 3.640 0.041
Pa 3.580 3.640 0.041
N 1.857 2.017 0.207
N 0.000 0.270 2.719
N 3.580 0.297 2.644
Pa -1.790 1.853 2.573
La 0.000 0.000 0.000
N 3.580 3.437 2.426
La 1.790 -1.787 2.532
N 0.000 3.409 2.501
La -1.790 -1.787 2.532
```

- Space-group type: No. 166
- Uncorrected formation energy: -1.576 eV per atom



# Ac4Ga5Cu2

Ac4Ga5Cu2 after structural relaxation (GGA-PBE, Alexandria via LeMat-Bulk).

Cell and atoms, written as extended XYZ:
```
11
Lattice="4.725 0.000 0.000 0.000 7.094 0.524 0.000 -0.006 8.716" Properties=species:S:1:pos:R:3 pbc="T T T"
Ac 2.362 5.584 1.672
Cu 0.000 0.316 5.518
Ga 0.000 6.137 8.172
Ga 0.000 4.321 3.569
Ac 2.362 1.504 7.568
Ac 2.362 5.155 5.940
Ac 2.362 1.933 3.300
Cu 0.000 6.772 3.722
Ga 0.000 0.951 1.069
Ga 0.000 3.547 0.262
Ga 0.000 2.768 5.671
```

- Space-group type: No. 10



# PuSc2Au

PuSc2Au after structural relaxation (GGA-PBE, Alexandria via LeMat-Bulk).

Cell and atoms, written as extended XYZ:
```
4
Lattice="3.385 0.000 0.000 1.693 2.932 0.000 1.693 0.977 9.525" Properties=species:S:1:pos:R:3 pbc="T T T"
Au 3.385 1.954 0.018
Pu 3.385 1.954 4.737
Sc 1.693 0.977 7.433
Sc 1.693 0.977 2.098
```

- Space-group type: No. 160



# Ac4La15Nd

Ac4La15Nd after structural relaxation (GGA-PBE, Alexandria via LeMat-Bulk).

Cell and atoms, written as extended XYZ:
```
20
Lattice="5.334 0.000 0.000 0.000 5.334 0.000 0.000 0.000 26.776" Properties=species:S:1:pos:R:3 pbc="T T T"
La 2.667 0.000 13.388
La 2.667 0.000 8.009
La 0.000 2.667 13.388
Ac 0.000 0.000 10.693
Ac 0.000 0.000 5.308
La 2.667 2.667 0.000
La 2.667 2.667 16.088
La 2.667 0.000 24.182
La 2.667 2.667 21.507
La 0.000 2.667 2.594
La 2.667 0.000 2.594
Ac 0.000 0.000 21.468
La 0.000 2.667 24.182
La 2.667 0.000 18.767
La 0.000 2.667 18.767
La 2.667 2.667 10.689
Ac 0.000 0.000 16.083
Nd 0.000 0.000 0.000
La 0.000 2.667 8.009
La 2.667 2.667 5.269
```

- Space-group type: No. 123



# PmErPuMg

PmErPuMg after structural relaxation (GGA-PBE, Alexandria via LeMat-Bulk).

Cell and atoms, written as extended XYZ:
```
4
Lattice="5.483 0.000 0.000 2.741 4.748 0.000 2.741 1.583 4.477" Properties=species:S:1:pos:R:3 pbc="T T T"
Pu 2.741 1.583 1.119
Mg 8.224 4.748 3.357
Er 0.000 0.000 0.000
Pm 5.483 3.165 2.238
```

- Space-group type: No. 216



# TeWAu2

TeWAu2 after structural relaxation (GGA-PBE, Alexandria via LeMat-Bulk).

Cell and atoms, written as extended XYZ:
```
4
Lattice="7.285 -0.003 -0.001 5.273 5.027 0.001 -5.848 -3.590 2.447" Properties=species:S:1:pos:R:3 pbc="T T T"
W 3.011 2.038 1.224
Au 1.032 0.413 0.000
Te 5.516 2.207 0.000
Au 3.430 -0.712 1.223
```

- Space-group type: No. 44
- Uncorrected formation energy: 0.451 eV per atom



# Ac8Nd2Ho3

Ac8Nd2Ho3 after structural relaxation (GGA-PBE, Alexandria via LeMat-Bulk).

Cell and atoms, written as extended XYZ:
```
13
Lattice="-2.655 -5.444 -2.819 -3.239 -0.062 5.817 -9.909 6.281 -2.885" Properties=species:S:1:pos:R:3 pbc="T T T"
Ho -2.880 -2.493 -0.431
Nd -9.347 -0.837 -0.148
Ac -9.397 -0.228 -3.913
Ho 0.000 0.000 0.000
Ac -6.138 -1.386 -2.139
Ho -12.924 3.269 0.544
Ac -12.622 0.341 -1.872
Ac -6.406 1.004 4.027
Nd -6.457 1.613 0.261
Ac -6.091 -2.024 1.668
Ac -3.181 0.435 1.985
Ac -9.713 2.799 -1.555
Ac -9.666 2.162 2.252
```

- Space-group type: No. 2



E_tot (eV per atom)
-2.91 -9.04 -4.00 -7.74 -4.74 -6.16 -5.21 -4.26
Calculated density (Mg/m³)
11.9 9.5 7.9 9.3 6.8 8.3 13.1 8.3
DOS at the Fermi energy (states/eV/f.u.)
3.9 9.0 9.9 9.3 40.5 14.2 2.8 22.0